No. 1
Density functional theory data (GGA-PBE) for crystalline BaLa2Cu at its relaxed geometry.

Lattice parameters (Å, degrees): 6.404 6.404 6.404 135.03 135.03 65.48
Sites, in units of the cell vectors:
Ba  0.500  0.500  0.000
La  0.000  0.000  0.000
Cu  0.750  0.250  0.500
La  0.250  0.750  0.500

Output
The calculation puts the mass density at 6.15 g/cm3. The formation energy from the elements comes out at 1.31 eV per formula unit. Its volume is 129.20 Å³ per cell. As for the symmetry: I-4m2. The total DFT energy (no corrections) is -14.6 eV/cell. Its energy above the most stable polymorph in this dataset is 310 meV per atom. The density of states at the Fermi level is 7.17 states/eV/cell. The total moment comes out at 0.00 μB per cell.



No. 2
Density functional theory data (GGA-PBE) for crystalline Ac2Sm3Cd2 at its relaxed geometry.

Lattice parameters (Å, degrees): 3.810 3.772 16.734 90.00 96.54 90.00
Sites, in units of the cell vectors:
Cd  0.129  0.000  0.258
Sm  0.000  0.000  0.000
Ac  0.698  0.500  0.395
Sm  0.428  0.500  0.855
Ac  0.302  0.500  0.605
Sm  0.572  0.500  0.145
Cd  0.871  0.000  0.742

Output
The calculation puts the mass density at 7.85 g/cm3. The formation energy from the elements comes out at -0.71 eV per formula unit. Its volume is 238.93 Å³ per cell. As for the symmetry: Cmmm. The total DFT energy (no corrections) is -24.9 eV/cell. The density of states at the Fermi level is 8.84 states/eV/cell. The total moment comes out at 0.01 μB per cell.



No. 3
Density functional theory data (GGA-PBE) for crystalline TmCd2Au3 at its relaxed geometry.

Lattice parameters (Å, degrees): 4.834 4.834 12.126 90.00 90.00 120.00
Sites, in units of the cell vectors:
Cd  0.667  0.333  0.834
Cd  0.000  0.000  0.000
Cd  0.000  0.000  0.500
Cd  0.333  0.667  0.166
Au  0.000  0.000  0.758
Au  0.333  0.667  0.915
Au  0.000  0.000  0.242
Au  0.667  0.333  0.579
Au  0.333  0.667  0.421
Tm  0.667  0.333  0.331
Au  0.667  0.333  0.085
Tm  0.333  0.667  0.669

Output
The calculation puts the mass density at 13.33 g/cm3. The formation energy from the elements comes out at -2.98 eV per formula unit. Its volume is 245.39 Å³ per cell. As for the symmetry: P-3m1. The total DFT energy (no corrections) is -38.2 eV/cell. The density of states at the Fermi level is 4.69 states/eV/cell. The total moment comes out at 0.00 μB per cell.



No. 4
Density functional theory data (GGA-PBE) for crystalline AlZn at its relaxed geometry.

Lattice parameters (Å, degrees): 3.932 12.371 3.938 90.00 90.00 90.00
Sites, in units of the cell vectors:
Zn  0.500  0.666  0.000
Zn  0.000  0.834  0.000
Al  0.500  0.166  0.500
Al  0.000  0.500  0.000
Al  0.500  0.834  0.500
Al  0.500  0.000  0.000
Al  0.000  0.666  0.500
Al  0.000  0.334  0.500
Zn  0.500  0.334  0.000
Zn  0.000  0.000  0.500
Zn  0.500  0.500  0.500
Zn  0.000  0.166  0.000

Output
The calculation puts the mass density at 4.81 g/cm3. The formation energy from the elements comes out at 0.09 eV per formula unit. Its volume is 191.57 Å³ per cell. As for the symmetry: Cmmm. The total DFT energy (no corrections) is -29.5 eV/cell. The density of states at the Fermi level is 4.97 states/eV/cell. The total moment comes out at 0.00 μB per cell.



No. 5
Density functional theory data (GGA-PBE) for crystalline VZn3W at its relaxed geometry.

Lattice parameters (Å, degrees): 4.835 4.835 4.835 90.00 90.00 90.00
Site moments in Bohr magnetons follow the coordinates.
Sites, in units of the cell vectors:
Zn  0.000  0.000  0.500  -0.04
V  0.500  0.500  0.500  2.89
Zn  0.500  0.000  0.000  -0.04
W  0.000  0.000  0.000  -0.57
Zn  0.000  0.500  0.000  -0.04

Output
The calculation puts the mass density at 6.33 g/cm3. The formation energy from the elements comes out at 7.04 eV per formula unit. Its volume is 113.00 Å³ per cell. As for the symmetry: Pm-3m. The total DFT energy (no corrections) is -18.9 eV/cell. Its energy above the most stable polymorph in this dataset is 0 meV per atom. The density of states at the Fermi level is 8.31 states/eV/cell. The total moment comes out at 2.62 μB per cell.



No. 6
Density functional theory data (GGA-PBE) for crystalline La5Co at its relaxed geometry.

Lattice parameters (Å, degrees): 3.789 6.461 8.609 73.55 90.00 107.05
Sites, in units of the cell vectors:
La  0.028  0.056  0.445
La  0.707  0.413  0.632
La  0.413  0.825  0.832
Co  0.028  0.056  0.944
La  0.349  0.698  0.257
La  0.643  0.285  0.057

Output
The calculation puts the mass density at 6.50 g/cm3. The formation energy from the elements comes out at 0.00 eV per formula unit. Its volume is 192.47 Å³ per cell. As for the symmetry: Cm. The total DFT energy (no corrections) is -31.7 eV/cell. Its energy above the most stable polymorph in this dataset is 0 meV per atom. The density of states at the Fermi level is 7.84 states/eV/cell. The total moment comes out at 0.00 μB per cell.



> What is the mass density in the sixth record?

6.50 g/cm3